Record 1
The following is a PBE calculation of a relaxed LiLa2As crystal, from Alexandria via LeMat-Bulk.

Structure (CIF):
```
data_LiLa2As
_space_group_name_H-M_alt 'A m m 2'
_space_group_IT_number 38
_cell_length_a 4.282
_cell_length_b 4.342
_cell_length_c 11.589
_cell_angle_alpha 90.00
_cell_angle_beta 90.00
_cell_angle_gamma 90.00
loop_
_space_group_symop_operation_xyz
'x,y,z'
'-x,-y,z'
'-x,y,z'
'x,-y,z'
'x,y+1/2,z+1/2'
'-x,-y+1/2,z+1/2'
'-x,y+1/2,z+1/2'
'x,-y+1/2,z+1/2'
loop_
_atom_site_label
_atom_site_fract_x
_atom_site_fract_y
_atom_site_fract_z
_atom_site_occupancy
Li1 0.000 0.000 0.000 1
La1 0.000 0.000 0.301 1
La2 0.500 0.000 0.593 1
As1 0.500 0.000 0.873 1
```

Summary:
The energy relative to the elements is -0.7254 eV per atom. The calculation puts the electronic total energy at -38.64 eV for the cell shown. Its total moment is 1.9 μB per cell.

***

Record 2
The following is a PBE calculation of a relaxed AcSmSb2Pd5 crystal, from Alexandria via LeMat-Bulk.

Structure (CIF):
```
data_AcSmSb2Pd5
_space_group_name_H-M_alt 'P 4/m m m'
_space_group_IT_number 123
_space_group_name_Hall '-P 4 2'
_cell_length_a 4.472
_cell_length_b 4.472
_cell_length_c 9.808
_cell_angle_alpha 90.00
_cell_angle_beta 90.00
_cell_angle_gamma 90.00
loop_
_atom_site_label
_atom_site_fract_x
_atom_site_fract_y
_atom_site_fract_z
_atom_site_occupancy
Ac1 0.000 0.000 0.000 1
Sm1 0.000 0.000 0.500 1
Sb1 0.500 0.500 0.353 1
Pd1 0.000 0.500 0.216 1
Pd2 0.500 0.500 0.000 1
```

Summary:
The formation energy (no corrections) is -0.72 eV/atom. The calculation puts the electronic total energy at -49.49 eV for the cell shown. Its total moment is 0.0 μB per cell.

***

Record 3
The following is a PBE calculation of a relaxed TbThAg2 crystal, from Alexandria via LeMat-Bulk.

Structure (CIF):
```
data_TbThAg2
_space_group_name_H-M_alt 'R -3 m'
_space_group_IT_number 166
_space_group_name_Hall '-R 3 2"'
_cell_length_a 3.5614
_cell_length_b 3.5614
_cell_length_c 28.9362
_cell_angle_alpha 90.00
_cell_angle_beta 90.00
_cell_angle_gamma 120.00
loop_
_atom_site_label
_atom_site_fract_x
_atom_site_fract_y
_atom_site_fract_z
_atom_site_occupancy
Tb1 0.0000 0.0000 0.0000 1
Th1 0.0000 0.0000 0.5000 1
Ag1 0.0000 0.0000 0.2540 1
```

Summary:
For the relative energy among the computed polymorphs, the calculation gives 0.200 eV per atom. The energy relative to the elements is 0.0310 eV per atom. The calculation puts the electronic total energy at -52.89 eV for the cell shown. Its total moment is 0.0 μB per cell.

***

Record 4
The following is a PBE calculation of a relaxed HgBiMo3 crystal, from Alexandria via LeMat-Bulk.

Structure (CIF):
```
data_HgBiMo3
_space_group_name_H-M_alt 'P m -3 m'
_space_group_IT_number 221
_space_group_name_Hall '-P 4 2 3'
_cell_length_a 5.031
_cell_length_b 5.031
_cell_length_c 5.031
_cell_angle_alpha 90.00
_cell_angle_beta 90.00
_cell_angle_gamma 90.00
loop_
_atom_site_label
_atom_site_fract_x
_atom_site_fract_y
_atom_site_fract_z
_atom_site_occupancy
Hg1 0.000 0.000 0.000 1
Bi1 0.500 0.500 0.500 1
Mo1 0.000 0.500 0.500 1
```

Summary:
For the relative energy among the computed polymorphs, the calculation gives 0.098 eV per atom. The energy relative to the elements is 2.3708 eV per atom. The calculation puts the electronic total energy at -24.82 eV for the cell shown. Its total moment is 0.0 μB per cell.

***

Record 5
The following is a PBE calculation of a relaxed Ta6ReRu5 crystal, from Alexandria via LeMat-Bulk.

Structure (CIF):
```
data_Ta6ReRu5
_space_group_name_H-M_alt 'I m m m'
_space_group_IT_number 71
_space_group_name_Hall '-I 2 2'
_cell_length_a 4.396
_cell_length_b 6.607
_cell_length_c 13.304
_cell_angle_alpha 90.00
_cell_angle_beta 90.00
_cell_angle_gamma 90.00
loop_
_atom_site_label
_atom_site_fract_x
_atom_site_fract_y
_atom_site_fract_z
_atom_site_occupancy
Ta1 0.000 0.243 0.000 1
Ta2 0.000 0.254 0.335 1
Re1 0.000 0.500 0.500 1
Ru1 0.000 0.000 0.176 1
Ru2 0.000 0.000 0.500 1
Ru3 0.000 0.500 0.162 1
```

Summary:
The energy relative to the elements is -0.3294 eV per atom. The calculation puts the electronic total energy at -267.79 eV for the cell shown. Its total moment is 0.0 μB per cell.

***

Record 6
The following is a PBE calculation of a relaxed Pr3Y2Ho6Tm crystal, from Alexandria via LeMat-Bulk.

Structure (CIF):
```
data_Pr3Y2Ho6Tm
_space_group_name_H-M_alt 'C 1 2/m 1'
_space_group_IT_number 12
_cell_length_a 6.207
_cell_length_b 10.745
_cell_length_c 11.827
_cell_angle_alpha 90.00
_cell_angle_beta 100.05
_cell_angle_gamma 90.00
loop_
_space_group_symop_operation_xyz
'x,y,z'
'-x,-y,-z'
'-x,y,-z'
'x,-y,z'
'x+1/2,y+1/2,z'
'-x+1/2,-y+1/2,-z'
'-x+1/2,y+1/2,-z'
'x+1/2,-y+1/2,z'
loop_
_atom_site_label
_atom_site_fract_x
_atom_site_fract_y
_atom_site_fract_z
_atom_site_occupancy
Pr1 0.000 0.000 0.000 1
Pr2 0.000 0.333 0.000 1
Y1 0.000 0.167 0.500 1
Ho1 0.248 0.334 0.746 1
Ho2 0.250 0.000 0.746 1
Tm1 0.000 0.500 0.500 1
```

Summary:
The energy relative to the elements is 0.0230 eV per atom. The calculation puts the electronic total energy at -117.86 eV for the cell shown. Its total moment is 0.0 μB per cell.

***

Record 7
The following is a PBE calculation of a relaxed Ba3Ac3AlO8 crystal, from Alexandria via LeMat-Bulk.

Structure (CIF):
```
data_Ba3Ac3AlO8
_space_group_name_H-M_alt 'R -3 m'
_space_group_IT_number 166
_space_group_name_Hall '-R 3 2"'
_cell_length_a 7.3462
_cell_length_b 7.3462
_cell_length_c 19.1332
_cell_angle_alpha 90.00
_cell_angle_beta 90.00
_cell_angle_gamma 120.00
loop_
_atom_site_label
_atom_site_fract_x
_atom_site_fract_y
_atom_site_fract_z
_atom_site_occupancy
Ba1 0.0000 0.5000 0.0000 1
Ac1 0.0000 0.5000 0.5000 1
Al1 0.0000 0.0000 0.5000 1
O1 0.0000 0.0000 0.2424 1
O2 0.0611 0.5305 0.2258 1
```

Summary:
The formation energy (no corrections) is -2.60 eV/atom. The calculation puts the electronic total energy at -301.63 eV for the cell shown. Its total moment is 0.0 μB per cell.

***

Record 8
The following is a PBE calculation of a relaxed SrYBr2 crystal, from Alexandria via LeMat-Bulk.

Structure (CIF):
```
data_SrYBr2
_space_group_name_H-M_alt 'F m -3 m'
_space_group_IT_number 225
_space_group_name_Hall '-F 4 2 3'
_cell_length_a 7.605
_cell_length_b 7.605
_cell_length_c 7.605
_cell_angle_alpha 90.00
_cell_angle_beta 90.00
_cell_angle_gamma 90.00
loop_
_atom_site_label
_atom_site_fract_x
_atom_site_fract_y
_atom_site_fract_z
_atom_site_occupancy
Sr1 0.000 0.000 0.000 1
Y1 0.000 0.000 0.500 1
Br1 0.250 0.250 0.250 1
```

Summary:
For the relative energy among the computed polymorphs, the calculation gives 0.361 eV per atom. The formation energy (no corrections) is -0.85 eV/atom. The calculation puts the electronic total energy at -59.63 eV for the cell shown. Its total moment is 5.5 μB per cell.

***

Question: Among the records above, which one has the lowest electronic total energy?
Answer: Ba3Ac3AlO8

***

Question: Among the records above, which one has the lowest electronic total energy?
Answer: Ba3Ac3AlO8

***

Question: total moment of number 7 (Ba3Ac3AlO8)?
Answer: 0.0 μB per cell